# BaLiTa2

A geometry-optimized BaLiTa2 structure (PBE, Alexandria via LeMat-Bulk).

Cell and atoms, written as extended XYZ:
```
4
Lattice="-5.9248 -3.8172 9.4188 -3.4530 -5.4817 9.8191 -3.5637 -2.6734 10.8876" Properties=species:S:1:pos:R:3 pbc="T T T"
Ta -0.1184 -0.1095 0.2756
Ta -6.3524 -5.8766 14.7872
Ba -3.2354 -2.9931 7.5314
Li -9.7061 -8.9792 22.5942
```

## Properties
- total magnetization (μB/cell) = 0.0
- DOS at the Fermi energy (states/eV/atom) = 0.951
- total DFT energy (no corrections) (eV/cell) = -23.341